Record 1
Material: AlMoP2
Method: DFT, PBE
State: optimized geometry

CIF file:
```
data_AlMoP2
_cell_length_a 3.3052
_cell_length_b 3.3052
_cell_length_c 19.6098
_cell_angle_alpha 90.00
_cell_angle_beta 90.00
_cell_angle_gamma 120.00
_space_group_name_H-M_alt 'R -3 m'
_space_group_IT_number 166
_space_group_name_Hall '-R 3 2"'
loop_
_atom_site_label
_atom_site_type_symbol
_atom_site_fract_x
_atom_site_fract_y
_atom_site_fract_z
Al1 Al 0.0000 0.0000 0.0000
Mo1 Mo 0.0000 0.0000 0.5000
P1 P 0.0000 0.0000 0.2492
```

Summary:
volume: 186 Å³/cell
total magnetization: 0.00 μB/cell
energy: -6.607 eV per atom



Record 2
Material: Al2MoP
Method: DFT, PBE
State: optimized geometry

CIF file:
```
data_Al2MoP
_cell_length_a 3.727
_cell_length_b 3.727
_cell_length_c 8.329
_cell_angle_alpha 90.00
_cell_angle_beta 90.00
_cell_angle_gamma 90.00
_space_group_name_H-M_alt 'I 4/m m m'
_space_group_IT_number 139
_space_group_name_Hall '-I 4 2'
loop_
_atom_site_label
_atom_site_type_symbol
_atom_site_fract_x
_atom_site_fract_y
_atom_site_fract_z
Al1 Al 0.000 0.500 0.250
Mo1 Mo 0.000 0.000 0.000
P1 P 0.000 0.000 0.500
```

Summary:
volume: 116 Å³/cell
total magnetization: 0.70 μB/cell
energy: -5.965 eV per atom



Record 3
Material: Al2MoP
Method: DFT, PBE
State: optimized geometry

CIF file:
```
data_Al2MoP
_cell_length_a 3.765
_cell_length_b 3.765
_cell_length_c 8.315
_cell_angle_alpha 90.00
_cell_angle_beta 90.00
_cell_angle_gamma 90.00
_space_group_name_H-M_alt 'I -4 m 2'
_space_group_IT_number 119
_space_group_name_Hall 'I -4 -2'
loop_
_atom_site_label
_atom_site_type_symbol
_atom_site_fract_x
_atom_site_fract_y
_atom_site_fract_z
Al1 Al 0.000 0.000 0.000
Al2 Al 0.000 0.500 0.250
Mo1 Mo 0.000 0.500 0.750
P1 P 0.000 0.000 0.500
```

Summary:
volume: 118 Å³/cell
total magnetization: 0.00 μB/cell
energy: -5.918 eV per atom



Record 4
Material: AlMo2P
Method: DFT, PBE
State: optimized geometry

CIF file:
```
data_AlMo2P
_cell_length_a 2.9623
_cell_length_b 2.9623
_cell_length_c 24.5625
_cell_angle_alpha 90.00
_cell_angle_beta 90.00
_cell_angle_gamma 120.00
_space_group_name_H-M_alt 'R 3 m'
_space_group_IT_number 160
_space_group_name_Hall 'R 3 -2"'
loop_
_atom_site_label
_atom_site_type_symbol
_atom_site_fract_x
_atom_site_fract_y
_atom_site_fract_z
Al1 Al 0.0000 0.0000 0.0000
Mo1 Mo 0.0000 0.0000 0.2479
Mo2 Mo 0.0000 0.0000 0.4922
P1 P 0.0000 0.0000 0.7548
```

Summary:
volume: 187 Å³/cell
total magnetization: 0.00 μB/cell
energy: -7.765 eV per atom



Q: Which of these has the lowest energy?
A: AlMo2P